Record 1
Here is a relaxed structure of Ba2CdSnTe5 from the Alexandria database. Energies are from PBE.

Output
Formation energy (no corrections), eV/atom: -0.889
Density of states at the Fermi level, states/eV/atom: 0.234

Cell: 4.6505 21.4342 13.4107 Å, 90.00 90.00 90.00°
Space group Cmc2_1 (No. 36)
Unique sites:
Ba (0.0000, 0.1086, 0.0000)
Ba (0.0000, 0.1222, 0.6138)
Cd (0.0000, 0.4347, 0.7408)
Sn (0.0000, 0.2238, 0.3277)
Te (0.0000, 0.0804, 0.3548)
Te (0.0000, 0.2712, 0.9808)
Te (0.0000, 0.2878, 0.6693)
Te (0.0000, 0.3610, 0.3094)
Te (0.0000, 0.4968, 0.0660)

Record 2
Here is a relaxed structure of BaCdSnTe3 from the Alexandria database. Energies are from PBE.

Output
Formation energy (no corrections), eV/atom: -0.791

Cell: 9.6364 4.6243 10.5506 Å, 90.00 101.45 90.00°
Space group P2_1/m (No. 11)
Unique sites:
Ba (0.1784, 0.2500, 0.2188)
Cd (0.0961, 0.2500, 0.6052)
Sn (0.3462, 0.7500, 0.8698)
Te (0.1057, 0.2500, 0.8740)
Te (0.2177, 0.7500, 0.5024)
Te (0.4296, 0.7500, 0.1568)

Which formula does entry 1 have? Ba2CdSnTe5